Here is a geometry-optimized ZrInSb2 structure from the Alexandria database. Energies are from PBE.

Values from the calculation:
E_form (uncorrected)   -0.098 eV per atom
Calculated volume   103 Å³/f.u.
Magnetic moment   0.0 μB/f.u.

abc: 3.277 3.277 9.856
angles: 90.00 90.00 103.18
Fractional positions:
Zr 0.000 0.000 0.000
In 0.500 0.500 0.225
Sb 0.000 0.000 0.460
Sb 0.500 0.500 0.780